Arrangement w

Below is Cd2SnPb after structural relaxation, with properties calculated at the PBE-GGA level.

Cell lengths 9.761, 9.761, 9.761 Å; angles 21.42, 21.42, 21.42 degrees
Element x y z (fractional)
Cd: 0.247 0.247 0.247
Cd: 0.753 0.753 0.753
Sn: 0.500 0.500 0.500
Pb: 0.000 0.000 0.000

---

Arrangement x

Below is Cd2SnPb after structural relaxation, with properties calculated at the PBE-GGA level.

Cell lengths 6.754, 6.754, 6.754 Å; angles 102.61, 102.61, 124.28 degrees
Element x y z (fractional)
Cd: 0.112 0.625 0.987
Cd: 0.375 0.362 0.487
Cd: 0.638 0.125 0.013
Cd: 0.875 0.888 0.513
Sn: 0.000 0.000 0.000
Sn: 0.750 0.250 0.500
Pb: 0.250 0.750 0.500
Pb: 0.500 0.500 0.000

---

arrangement w wins, 7.0 kJ/mol of atoms ahead of the next structure.

---

Arrangement w

Below is Cd2SnPb after structural relaxation, with properties calculated at the PBE-GGA level.

Cell lengths 6.890, 6.889, 8.942 Å; angles 90.00, 90.00, 90.00 degrees
Element x y z (fractional)
Cd: 0.248 0.000 0.000
Cd: 0.248 0.500 0.000
Cd: 0.252 0.000 0.500
Cd: 0.252 0.500 0.500
Cd: 0.748 0.000 0.500
Cd: 0.748 0.500 0.500
Cd: 0.752 0.000 0.000
Cd: 0.752 0.500 0.000
Sn: 0.002 0.250 0.251
Sn: 0.498 0.750 0.751
Sn: 0.502 0.250 0.249
Sn: 0.998 0.750 0.749
Pb: 0.001 0.750 0.252
Pb: 0.499 0.250 0.752
Pb: 0.501 0.750 0.248
Pb: 0.999 0.250 0.748

---

Arrangement x

Below is Cd2SnPb after structural relaxation, with properties calculated at the PBE-GGA level.

Cell lengths 5.755, 5.755, 10.102 Å; angles 115.15, 115.15, 45.85 degrees
Element x y z (fractional)
Cd: 0.132 0.132 0.439
Cd: 0.358 0.358 0.790
Cd: 0.642 0.642 0.210
Cd: 0.868 0.868 0.561
Sn: 0.384 0.384 0.325
Sn: 0.616 0.616 0.675
Pb: 0.114 0.114 0.925
Pb: 0.886 0.886 0.075

---

Arrangement y

Below is Cd2SnPb after structural relaxation, with properties calculated at the PBE-GGA level.

Cell lengths 5.327, 5.327, 5.327 Å; angles 60.00, 60.00, 60.00 degrees
Element x y z (fractional)
Cd: 0.250 0.250 0.250
Cd: 0.750 0.750 0.750
Sn: 0.000 0.000 0.000
Pb: 0.500 0.500 0.500

---

Arrangement z

Below is Cd2SnPb after structural relaxation, with properties calculated at the PBE-GGA level.

Cell lengths 7.014, 7.014, 7.014 Å; angles 38.02, 38.02, 38.02 degrees
Element x y z (fractional)
Cd: 0.000 0.000 0.000
Cd: 0.157 0.157 0.157
Sn: 0.412 0.412 0.412
Pb: 0.579 0.579 0.579

---

arrangement x wins, 0.8 kJ/mol of atoms ahead of the next structure.

---

Arrangement w

Below is CdSnPb3 after structural relaxation, with properties calculated at the PBE-GGA level.

Cell lengths 5.961, 7.118, 7.483 Å; angles 103.07, 95.77, 105.20 degrees
Element x y z (fractional)
Cd: 0.111 0.195 0.194
Cd: 0.889 0.805 0.806
Sn: 0.500 0.000 0.000
Sn: 0.500 0.500 0.000
Pb: 0.101 0.705 0.187
Pb: 0.297 0.607 0.608
Pb: 0.299 0.104 0.604
Pb: 0.701 0.896 0.396
Pb: 0.703 0.393 0.392
Pb: 0.899 0.295 0.813

---

Arrangement x

Below is CdSnPb3 after structural relaxation, with properties calculated at the PBE-GGA level.

Cell lengths 5.653, 5.653, 5.653 Å; angles 90.00, 90.00, 90.00 degrees
Element x y z (fractional)
Cd: 0.000 0.000 0.000
Sn: 0.500 0.500 0.500
Pb: 0.000 0.000 0.500
Pb: 0.000 0.500 0.000
Pb: 0.500 0.000 0.000

---

arrangement w wins, 43.1 kJ/mol of atoms ahead of the next structure.

---

Arrangement w

Below is Cd2Sn2Pb5 after structural relaxation, with properties calculated at the PBE-GGA level.

Cell lengths 7.629, 7.629, 7.951 Å; angles 107.19, 107.19, 36.56 degrees
Element x y z (fractional)
Cd: 0.224 0.224 0.333
Cd: 0.776 0.776 0.667
Sn: 0.328 0.328 0.990
Sn: 0.672 0.672 0.010
Pb: 0.000 0.000 0.000
Pb: 0.118 0.118 0.677
Pb: 0.433 0.433 0.662
Pb: 0.567 0.567 0.338
Pb: 0.882 0.882 0.323

---

Arrangement x

Below is Cd2Sn2Pb5 after structural relaxation, with properties calculated at the PBE-GGA level.

Cell lengths 9.269, 9.269, 8.163 Å; angles 90.00, 90.00, 50.91 degrees
Element x y z (fractional)
Cd: 0.133 0.867 0.866
Cd: 0.367 0.633 0.366
Cd: 0.633 0.367 0.634
Cd: 0.867 0.133 0.134
Sn: 0.205 0.205 0.500
Sn: 0.295 0.295 0.000
Sn: 0.705 0.705 0.000
Sn: 0.795 0.795 0.500
Pb: 0.000 0.000 0.500
Pb: 0.023 0.701 0.163
Pb: 0.201 0.523 0.663
Pb: 0.299 0.977 0.163
Pb: 0.477 0.799 0.663
Pb: 0.500 0.500 0.000
Pb: 0.523 0.201 0.337
Pb: 0.701 0.023 0.837
Pb: 0.799 0.477 0.337
Pb: 0.977 0.299 0.837

---

arrangement w wins, 5.0 kJ/mol of atoms ahead of the next structure.

---

Arrangement w

Below is CdSn3Pb6 after structural relaxation, with properties calculated at the PBE-GGA level.

Cell lengths 12.737, 3.385, 14.908 Å; angles 90.00, 110.50, 90.00 degrees
Element x y z (fractional)
Cd: 0.075 0.250 0.195
Cd: 0.925 0.750 0.805
Sn: 0.240 0.250 0.611
Sn: 0.386 0.750 0.996
Sn: 0.454 0.750 0.579
Sn: 0.546 0.250 0.421
Sn: 0.614 0.250 0.004
Sn: 0.760 0.750 0.389
Pb: 0.039 0.750 0.413
Pb: 0.122 0.250 0.987
Pb: 0.165 0.750 0.786
Pb: 0.278 0.250 0.396
Pb: 0.308 0.750 0.191
Pb: 0.441 0.750 0.798
Pb: 0.559 0.250 0.202
Pb: 0.692 0.250 0.809
Pb: 0.722 0.750 0.604
Pb: 0.835 0.250 0.214
Pb: 0.878 0.750 0.013
Pb: 0.961 0.250 0.587

---

Arrangement x

Below is CdSn3Pb6 after structural relaxation, with properties calculated at the PBE-GGA level.

Cell lengths 10.393, 10.393, 7.167 Å; angles 90.00, 90.00, 121.47 degrees
Element x y z (fractional)
Cd: 0.139 0.861 0.500
Cd: 0.861 0.139 0.000
Sn: 0.047 0.286 0.352
Sn: 0.286 0.047 0.852
Sn: 0.387 0.613 0.911
Sn: 0.613 0.387 0.411
Sn: 0.714 0.953 0.352
Sn: 0.953 0.714 0.852
Pb: 0.033 0.967 0.171
Pb: 0.109 0.546 0.640
Pb: 0.242 0.758 0.166
Pb: 0.319 0.339 0.635
Pb: 0.339 0.319 0.135
Pb: 0.454 0.891 0.640
Pb: 0.546 0.109 0.140
Pb: 0.661 0.681 0.635
Pb: 0.681 0.661 0.135
Pb: 0.758 0.242 0.666
Pb: 0.891 0.454 0.140
Pb: 0.967 0.033 0.671

---

arrangement w wins, 4.9 kJ/mol of atoms ahead of the next structure.

---

Arrangement w

Below is CdSnPb4 after structural relaxation, with properties calculated at the PBE-GGA level.

Cell lengths 5.775, 6.826, 9.238 Å; angles 90.00, 98.89, 90.00 degrees
Element x y z (fractional)
Cd: 0.202 0.250 0.426
Cd: 0.798 0.750 0.574
Sn: 0.280 0.250 0.105
Sn: 0.720 0.750 0.895
Pb: 0.223 0.007 0.758
Pb: 0.223 0.493 0.758
Pb: 0.254 0.750 0.082
Pb: 0.286 0.750 0.442
Pb: 0.714 0.250 0.558
Pb: 0.746 0.250 0.918
Pb: 0.777 0.507 0.242
Pb: 0.777 0.993 0.242

---

Arrangement x

Below is CdSnPb4 after structural relaxation, with properties calculated at the PBE-GGA level.

Cell lengths 5.213, 5.213, 7.382 Å; angles 90.00, 90.00, 90.00 degrees
Element x y z (fractional)
Cd: 0.000 0.000 0.000
Sn: 0.500 0.500 0.500
Pb: 0.000 0.500 0.244
Pb: 0.000 0.500 0.756
Pb: 0.500 0.000 0.244
Pb: 0.500 0.000 0.756

---

arrangement w wins, 0.9 kJ/mol of atoms ahead of the next structure.